A relaxed Li2CoSi crystal. Source: the Alexandria database, functional GGA-PBE.

Calculated values
energy relative to the elements, uncorrected: 0.028 eV/atom
size of the total moment: 1.58 μB/cell
E: -16.246 eV for the cell shown

Cell and atoms, written as extended XYZ:
```
4
Lattice="2.479 0.000 0.000 0.000 2.479 0.000 0.000 0.000 8.329" Properties=species:S:1:pos:R:3 pbc="T T T"
Li 0.000 0.000 4.161
Li 0.000 0.000 0.003
Si 1.239 1.239 2.082
Co 1.239 1.239 6.247
```